! Cs4Tb3YSe8 | Alexandria via LeMat-Bulk | PBE-GGA | relaxed; values from VASP
! **Crystal system**: monoclinic
! **Uncorrected energy**: -79.41 eV per cell
! **E_form (uncorrected)**: -1.735 eV per atom
! **Spin magnetization**: 0.0 μB/cell
! **DOS at the Fermi energy**: 0.000 states/eV per atom
&SYSTEM
  ibrav = 0, nat = 16, ntyp = 4
/
ATOMIC_SPECIES
Cs 132.91 Cs.upf
Tb 158.93 Tb.upf
Se 78.96 Se.upf
Y 88.91 Y.upf
CELL_PARAMETERS angstrom
8.561 0.000 0.000
0.000 9.698 0.794
-4.280 -4.277 6.058
ATOMIC_POSITIONS crystal
Cs 0.000 0.000 0.000
Cs 0.500 0.000 0.000
Cs 0.500 0.000 0.500
Cs 0.000 0.000 0.500
Tb 0.000 0.500 0.500
Tb 0.500 0.500 0.000
Tb 0.500 0.500 0.500
Se 0.771 0.314 0.042
Se 0.271 0.314 0.042
Se 0.229 0.686 0.958
Se 0.772 0.314 0.544
Se 0.729 0.686 0.458
Se 0.271 0.314 0.542
Se 0.729 0.686 0.958
Se 0.228 0.686 0.456
Y 0.000 0.500 0.000

! Tb4Tl2O | Alexandria via LeMat-Bulk | PBE-GGA | relaxed; values from VASP
! **Crystal system**: monoclinic
! **Uncorrected energy**: -71.26 eV per cell
! **E_form (uncorrected)**: -1.060 eV per atom
! **Spin magnetization**: 0.0 μB/cell
! **DOS at the Fermi energy**: 0.481 states/eV per atom
&SYSTEM
  ibrav = 0, nat = 14, ntyp = 3
/
ATOMIC_SPECIES
O 16.00 O.upf
Tb 158.93 Tb.upf
Tl 204.38 Tl.upf
CELL_PARAMETERS angstrom
6.450 0.000 -0.315
0.000 6.896 0.000
-2.742 0.000 8.651
ATOMIC_POSITIONS crystal
O 0.704 0.250 0.793
O 0.296 0.750 0.207
Tb 0.534 0.998 0.276
Tb 0.128 0.750 0.947
Tb 0.077 0.750 0.352
Tb 0.466 0.498 0.724
Tb 0.534 0.502 0.276
Tb 0.466 0.002 0.724
Tb 0.872 0.250 0.053
Tb 0.923 0.250 0.648
Tl 0.809 0.750 0.587
Tl 0.191 0.250 0.413
Tl 0.694 0.750 0.028
Tl 0.306 0.250 0.972

! AgPdRu2Br | Alexandria via LeMat-Bulk | PBE-GGA | relaxed; values from VASP
! **Crystal system**: tetragonal
! **Uncorrected energy**: -21.04 eV per cell
! **E_form (uncorrected)**: 1.445 eV per atom
! **Spin magnetization**: 2.9 μB/cell
! **DOS at the Fermi energy**: 1.079 states/eV per atom
&SYSTEM
  ibrav = 0, nat = 5, ntyp = 4
/
ATOMIC_SPECIES
Ru 101.07 Ru.upf
Pd 106.42 Pd.upf
Br 79.90 Br.upf
Ag 107.87 Ag.upf
CELL_PARAMETERS angstrom
4.563 0.000 0.000
0.000 4.895 0.000
0.000 0.000 4.563
ATOMIC_POSITIONS crystal
Ru 0.500 0.000 0.000
Ru 0.000 0.000 0.500
Pd 0.500 0.500 0.500
Br 0.000 0.000 0.000
Ag 0.000 0.500 0.000

! AcLa2TmP4 | Alexandria via LeMat-Bulk | PBE-GGA | relaxed; values from VASP
! **Crystal system**: monoclinic
! **Uncorrected energy**: -52.08 eV per cell
! **Spin magnetization**: 0.0 μB/cell
! **Formation energy**: -1500 meV per atom
! **DOS at the Fermi energy**: 0.101 states/eV per atom
&SYSTEM
  ibrav = 0, nat = 8, ntyp = 4
/
ATOMIC_SPECIES
P 30.97 P.upf
Tm 168.93 Tm.upf
La 138.91 La.upf
Ac 227.00 Ac.upf
CELL_PARAMETERS angstrom
4.251 0.000 0.000
0.000 7.343 -0.148
0.000 2.582 6.885
ATOMIC_POSITIONS crystal
P 0.500 0.742 0.264
P 0.500 0.258 0.736
P 0.000 0.751 0.737
P 0.000 0.249 0.263
Tm 0.000 0.500 0.500
La 0.500 0.000 0.500
La 0.000 0.000 0.000
Ac 0.500 0.500 0.000

! Rb3Re2HgO8 | Alexandria via LeMat-Bulk | PBE-GGA | relaxed; values from VASP
! **Crystal system**: trigonal
! **Uncorrected energy**: -90.61 eV per cell
! **E_form (uncorrected)**: -1.632 eV per atom
! **Spin magnetization**: 1.1 μB/cell
! **DOS at the Fermi energy**: 0.568 states/eV per atom
&SYSTEM
  ibrav = 0, nat = 14, ntyp = 4
/
ATOMIC_SPECIES
O 16.00 O.upf
Re 186.21 Re.upf
Rb 85.47 Rb.upf
Hg 200.59 Hg.upf
CELL_PARAMETERS angstrom
-5.857 -0.571 2.329
4.773 -3.234 2.611
1.771 7.745 6.356
ATOMIC_POSITIONS crystal
O 0.181 0.819 0.221
O 0.362 0.181 0.779
O 0.181 0.362 0.221
O 0.638 0.819 0.221
O 0.819 0.638 0.779
O 0.333 0.667 0.985
O 0.667 0.333 0.015
O 0.819 0.181 0.779
Re 0.333 0.667 0.160
Re 0.667 0.333 0.840
Rb 0.667 0.333 0.286
Rb 0.333 0.667 0.714
Rb 0.000 0.000 0.000
Hg 0.000 0.000 0.500

! La4Sb2Pb | Alexandria via LeMat-Bulk | PBE-GGA | relaxed; values from VASP
! **Crystal system**: tetragonal
! **Uncorrected energy**: -76.85 eV per cell
! **E_form (uncorrected)**: -0.966 eV per atom
! **Spin magnetization**: 0.0 μB/cell
! **DOS at the Fermi energy**: 1.165 states/eV per atom
&SYSTEM
  ibrav = 0, nat = 14, ntyp = 3
/
ATOMIC_SPECIES
La 138.91 La.upf
Sb 121.76 Sb.upf
Pb 207.20 Pb.upf
CELL_PARAMETERS angstrom
8.462 -0.008 0.000
-2.800 7.985 0.000
-2.831 -3.988 6.905
ATOMIC_POSITIONS crystal
La 0.986 0.380 0.254
La 0.620 0.874 0.606
La 0.267 0.014 0.394
La 0.126 0.733 0.746
La 0.130 0.236 0.754
La 0.764 0.517 0.894
La 0.483 0.376 0.246
La 0.624 0.870 0.106
Sb 0.375 0.499 0.624
Sb 0.875 0.751 0.376
Sb 0.501 0.125 0.876
Sb 0.249 0.625 0.124
Pb 0.750 0.250 0.500
Pb 0.000 0.000 0.000

! Pm5Nd3Dy3 | Alexandria via LeMat-Bulk | PBE-GGA | relaxed; values from VASP
! **Crystal system**: hexagonal
! **Uncorrected energy**: -43.59 eV per cell
! **Spin magnetization**: 0.0 μB/cell
! **Formation energy**: 752 meV per atom
! **DOS at the Fermi energy**: 1.955 states/eV per atom
&SYSTEM
  ibrav = 0, nat = 11, ntyp = 3
/
ATOMIC_SPECIES
Nd 144.24 Nd.upf
Dy 162.50 Dy.upf
Pm 145.00 Pm.upf
CELL_PARAMETERS angstrom
-2.283 0.123 9.414
-6.931 -1.266 -6.649
0.756 -5.479 0.255
ATOMIC_POSITIONS crystal
Nd 0.599 0.000 0.000
Nd 0.000 0.599 0.000
Nd 0.401 0.401 0.000
Dy 0.758 0.000 0.500
Dy 0.000 0.758 0.500
Dy 0.242 0.242 0.500
Pm 0.000 0.381 0.500
Pm 0.333 0.667 0.500
Pm 0.619 0.619 0.500
Pm 0.381 0.000 0.500
Pm 0.667 0.333 0.500

! ReOsRh2 | Alexandria via LeMat-Bulk | PBE-GGA | relaxed; values from VASP
! **Crystal system**: orthorhombic
! **Uncorrected energy**: -38.62 eV per cell
! **Spin magnetization**: 0.0 μB/cell
! **Formation energy**: -59 meV per atom
! **DOS at the Fermi energy**: 0.834 states/eV per atom
&SYSTEM
  ibrav = 0, nat = 4, ntyp = 3
/
ATOMIC_SPECIES
Rh 102.91 Rh.upf
Os 190.23 Os.upf
Re 186.21 Re.upf
CELL_PARAMETERS angstrom
-0.155 1.156 4.208
-2.686 -0.462 0.028
0.799 -4.564 1.283
ATOMIC_POSITIONS crystal
Rh 0.000 0.125 0.964
Rh 0.500 0.125 0.288
Os 0.000 0.625 0.466
Re 0.500 0.625 0.782

! PmHo5Er2Sc | Alexandria via LeMat-Bulk | PBE-GGA | relaxed; values from VASP
! **Crystal system**: orthorhombic
! **Uncorrected energy**: -83.08 eV per cell
! **Spin magnetization**: 0.0 μB/cell
! **Formation energy**: 173 meV per atom
! **DOS at the Fermi energy**: 1.644 states/eV per atom
&SYSTEM
  ibrav = 0, nat = 18, ntyp = 4
/
ATOMIC_SPECIES
Sc 44.96 Sc.upf
Pm 145.00 Pm.upf
Er 167.26 Er.upf
Ho 164.93 Ho.upf
CELL_PARAMETERS angstrom
5.531 0.000 0.000
-2.765 9.809 0.000
0.000 0.000 10.343
ATOMIC_POSITIONS crystal
Sc 0.804 0.608 0.514
Sc 0.196 0.392 0.014
Pm 0.587 0.174 0.953
Pm 0.413 0.826 0.453
Er 0.887 0.773 0.236
Er 0.113 0.227 0.736
Er 0.112 0.223 0.314
Er 0.888 0.777 0.814
Ho 0.519 0.039 0.239
Ho 0.018 0.037 0.020
Ho 0.481 0.961 0.739
Ho 0.622 0.244 0.521
Ho 0.723 0.446 0.821
Ho 0.378 0.756 0.021
Ho 0.277 0.554 0.321
Ho 0.982 0.963 0.520
Ho 0.298 0.597 0.706
Ho 0.702 0.403 0.206

! CaHo3Te4 | Alexandria via LeMat-Bulk | PBE-GGA | relaxed; values from VASP
! **Crystal system**: orthorhombic
! **Uncorrected energy**: -38.99 eV per cell
! **E_form (uncorrected)**: -1.336 eV per atom
! **Spin magnetization**: 0.0 μB/cell
! **DOS at the Fermi energy**: 0.453 states/eV per atom
&SYSTEM
  ibrav = 0, nat = 8, ntyp = 3
/
ATOMIC_SPECIES
Ca 40.08 Ca.upf
Ho 164.93 Ho.upf
Te 127.60 Te.upf
CELL_PARAMETERS angstrom
4.347 -0.054 0.074
0.056 7.281 2.101
-0.123 0.398 7.566
ATOMIC_POSITIONS crystal
Ca 0.500 0.500 0.000
Ho 0.000 0.000 0.000
Ho 0.500 0.000 0.500
Ho 0.000 0.500 0.500
Te 0.000 0.247 0.253
Te 0.500 0.249 0.749
Te 0.500 0.751 0.251
Te 0.000 0.753 0.747

! SrSmSi2Pt5 | Alexandria via LeMat-Bulk | PBE-GGA | relaxed; values from VASP
! **Crystal system**: tetragonal
! **Uncorrected energy**: -55.37 eV per cell
! **E_form (uncorrected)**: -0.880 eV per atom
! **Spin magnetization**: 0.0 μB/cell
! **DOS at the Fermi energy**: 0.335 states/eV per atom
&SYSTEM
  ibrav = 0, nat = 9, ntyp = 4
/
ATOMIC_SPECIES
Pt 195.08 Pt.upf
Si 28.09 Si.upf
Sr 87.62 Sr.upf
Sm 150.36 Sm.upf
CELL_PARAMETERS angstrom
-2.558 3.156 -0.799
-1.602 -0.336 3.803
7.776 7.295 3.920
ATOMIC_POSITIONS crystal
Pt 0.500 0.000 0.191
Pt 0.000 0.500 0.809
Pt 0.000 0.500 0.191
Pt 0.500 0.500 0.500
Pt 0.500 0.000 0.809
Si 0.500 0.500 0.706
Si 0.500 0.500 0.294
Sr 0.000 0.000 0.500
Sm 0.000 0.000 0.000

! HoPuAlZn | Alexandria via LeMat-Bulk | PBE-GGA | relaxed; values from VASP
! **Crystal system**: cubic
! **Uncorrected energy**: -24.71 eV per cell
! **Spin magnetization**: 5.9 μB/cell
! **Formation energy**: -196 meV per atom
! **DOS at the Fermi energy**: 1.785 states/eV per atom
&SYSTEM
  ibrav = 0, nat = 4, ntyp = 4
/
ATOMIC_SPECIES
Ho 164.93 Ho.upf
Al 26.98 Al.upf
Zn 65.41 Zn.upf
Pu 244.00 Pu.upf
CELL_PARAMETERS angstrom
5.075 0.000 0.000
2.537 4.395 0.000
2.537 1.465 4.143
ATOMIC_POSITIONS crystal
Ho 0.250 0.250 0.250
Al 0.500 0.500 0.500
Zn 0.000 0.000 0.000
Pu 0.750 0.750 0.750